## CaTlSi (PBE)

Data for a relaxed structure of CaTlSi.

Cell: 6.9677 6.9677 6.9677 Å, 90.00 90.00 90.00°
Space group F-43m (No. 216)
Unique sites:
Ca 0.0000 0.0000 0.0000 (multiplicity 4)
Tl 0.0000 0.0000 0.5000 (multiplicity 4)
Si 0.2500 0.2500 0.7500 (multiplicity 4)

Energy in eV per atom: -3.338
Magnetic moment in Bohr magnetons per cell: 0.0